Entry a
Tl3GaO6 | PBE | relaxed

* total magnetic moment: 0.00 μB per formula unit

```
Tl3GaO6
1.0
2.827 1.632 4.905
-2.827 1.632 4.905
0.000 -3.264 4.905
Tl Ga O
3 1 6
Direct
0.000 0.000 0.000 Tl
0.223 0.223 0.223 Tl
0.731 0.731 0.731 Tl
0.509 0.509 0.509 Ga
0.155 0.403 0.777 O
0.323 0.875 0.614 O
0.403 0.777 0.155 O
0.614 0.323 0.875 O
0.777 0.155 0.403 O
0.875 0.614 0.323 O
```

***

Entry b
Tl3GaO6 | PBE | relaxed

* total magnetic moment: 0.00 μB per formula unit

```
Tl3GaO6
1.0
4.662 2.692 3.742
-4.662 2.692 3.742
0.000 -5.383 3.742
Tl Ga O
6 2 12
Direct
0.054 0.567 0.749 Tl
0.251 0.946 0.433 Tl
0.433 0.251 0.946 Tl
0.567 0.749 0.054 Tl
0.749 0.054 0.567 Tl
0.946 0.433 0.251 Tl
0.000 0.000 0.000 Ga
0.500 0.500 0.500 Ga
0.041 0.917 0.705 O
0.083 0.295 0.959 O
0.206 0.578 0.435 O
0.295 0.959 0.083 O
0.422 0.565 0.794 O
0.435 0.206 0.578 O
0.565 0.794 0.422 O
0.578 0.435 0.206 O
0.705 0.041 0.917 O
0.794 0.422 0.565 O
0.917 0.705 0.041 O
0.959 0.083 0.295 O
```

***

Top of the stability list: entry b, leading by 35 meV/atom.